[1]
# PBE BaCa2Hg2, optimized geometry
# - E_form (kJ per mole of atoms) = -35.8
# - raw total energy (eV/atom) = -1.6767
# - offset from the most stable computed form (kJ/mol of atoms) = 3.5
data_BaCa2Hg2
_space_group_name_H-M_alt 'I 4/m m m'
_space_group_IT_number 139
_space_group_name_Hall '-I 4 2'
_cell_length_a 5.0950
_cell_length_b 5.0950
_cell_length_c 13.9862
_cell_angle_alpha 90.00
_cell_angle_beta 90.00
_cell_angle_gamma 90.00
loop_
_atom_site_label
_atom_site_type_symbol
_atom_site_fract_x
_atom_site_fract_y
_atom_site_fract_z
Ba1 Ba 0.0000 0.0000 0.0000
Ca1 Ca 0.0000 0.5000 0.2500
Hg1 Hg 0.0000 0.0000 0.3925

=====

[2]
# PBE Ba3CaHg4, optimized geometry
# - E_form (kJ per mole of atoms) = -49.5
# - raw total energy (eV/atom) = -1.6356
data_Ba3CaHg4
_space_group_name_H-M_alt 'P 4/m m m'
_space_group_IT_number 123
_space_group_name_Hall '-P 4 2'
_cell_length_a 4.1194
_cell_length_b 4.1194
_cell_length_c 16.3207
_cell_angle_alpha 90.00
_cell_angle_beta 90.00
_cell_angle_gamma 90.00
loop_
_atom_site_label
_atom_site_type_symbol
_atom_site_fract_x
_atom_site_fract_y
_atom_site_fract_z
Ba1 Ba 0.0000 0.0000 0.0000
Ba2 Ba 0.0000 0.0000 0.2625
Ca1 Ca 0.0000 0.0000 0.5000
Hg1 Hg 0.5000 0.5000 0.1300
Hg2 Hg 0.5000 0.5000 0.3958

=====

[3]
# PBE BaCaHg4, optimized geometry
# - E_form (kJ per mole of atoms) = -32.2
# - raw total energy (eV/atom) = -1.1889
# - offset from the most stable computed form (kJ/mol of atoms) = 13.8
data_BaCaHg4
_space_group_name_H-M_alt 'F -4 3 m'
_space_group_IT_number 216
_space_group_name_Hall 'F -4 2 3'
_cell_length_a 8.8660
_cell_length_b 8.8660
_cell_length_c 8.8660
_cell_angle_alpha 90.00
_cell_angle_beta 90.00
_cell_angle_gamma 90.00
loop_
_atom_site_label
_atom_site_type_symbol
_atom_site_fract_x
_atom_site_fract_y
_atom_site_fract_z
Ba1 Ba 0.0000 0.0000 0.0000
Ca1 Ca 0.2500 0.2500 0.7500
Hg1 Hg 0.1246 0.1246 0.3754

=====

[4]
# PBE BaCa2Hg, optimized geometry
# - E_form (kJ per mole of atoms) = -19.2
# - raw total energy (eV/atom) = -1.7555
data_BaCa2Hg
_space_group_name_H-M_alt 'R -3 m'
_space_group_IT_number 166
_space_group_name_Hall '-R 3 2"'
_cell_length_a 4.1785
_cell_length_b 4.1785
_cell_length_c 33.2692
_cell_angle_alpha 90.00
_cell_angle_beta 90.00
_cell_angle_gamma 120.00
loop_
_atom_site_label
_atom_site_type_symbol
_atom_site_fract_x
_atom_site_fract_y
_atom_site_fract_z
Ba1 Ba 0.0000 0.0000 0.0000
Ca1 Ca 0.0000 0.0000 0.2280
Hg1 Hg 0.0000 0.0000 0.5000